(1)
! Be3Ni, relaxed, DFT GGA-PBE; values from VASP
! Energy: -4.492 eV/atom
! Space group: I4/mmm (139)
&SYSTEM
  ibrav = 0, nat = 4, ntyp = 2
/
ATOMIC_SPECIES
Be 9.01 Be.upf
Ni 58.69 Ni.upf
CELL_PARAMETERS angstrom
-1.569 1.569 3.430
1.569 -1.569 3.430
1.569 1.569 -3.430
ATOMIC_POSITIONS crystal
Be 0.000 0.000 0.000
Be 0.250 0.750 0.500
Be 0.750 0.250 0.500
Ni 0.500 0.500 0.000

---

(2)
! BeNi3, relaxed, DFT GGA-PBE; values from VASP
! Energy: -5.272 eV/atom
! Space group: Pmmn (59)
&SYSTEM
  ibrav = 0, nat = 8, ntyp = 2
/
ATOMIC_SPECIES
Be 9.01 Be.upf
Ni 58.69 Ni.upf
CELL_PARAMETERS angstrom
3.940 0.000 0.000
0.000 4.875 0.000
0.000 0.000 4.160
ATOMIC_POSITIONS crystal
Be 0.250 0.250 0.170
Be 0.750 0.750 0.830
Ni 0.250 0.002 0.671
Ni 0.250 0.498 0.671
Ni 0.250 0.750 0.161
Ni 0.750 0.250 0.839
Ni 0.750 0.502 0.329
Ni 0.750 0.998 0.329

---

(3)
! Be3Ni, relaxed, DFT GGA-PBE; values from VASP
! Energy: -4.470 eV/atom
! Space group: Fm-3m (225)
&SYSTEM
  ibrav = 0, nat = 4, ntyp = 2
/
ATOMIC_SPECIES
Be 9.01 Be.upf
Ni 58.69 Ni.upf
CELL_PARAMETERS angstrom
0.000 2.568 2.568
2.568 0.000 2.568
2.568 2.568 0.000
ATOMIC_POSITIONS crystal
Be 0.000 0.000 0.000
Be 0.250 0.250 0.250
Be 0.750 0.750 0.750
Ni 0.500 0.500 0.500

---

(4)
! Be3Ni, relaxed, DFT GGA-PBE; values from VASP
! Energy: -4.472 eV/atom
! Space group: Pm-3m (221)
&SYSTEM
  ibrav = 0, nat = 4, ntyp = 2
/
ATOMIC_SPECIES
Be 9.01 Be.upf
Ni 58.69 Ni.upf
CELL_PARAMETERS angstrom
3.254 0.000 0.000
0.000 3.254 0.000
0.000 0.000 3.254
ATOMIC_POSITIONS crystal
Be 0.000 0.000 0.500
Be 0.000 0.500 0.000
Be 0.500 0.000 0.000
Ni 0.500 0.500 0.500

---

(5)
! Be3Ni, relaxed, DFT GGA-PBE; values from VASP
! Energy: -4.491 eV/atom
! Space group: P6_3/mmc (194)
&SYSTEM
  ibrav = 0, nat = 8, ntyp = 2
/
ATOMIC_SPECIES
Be 9.01 Be.upf
Ni 58.69 Ni.upf
CELL_PARAMETERS angstrom
4.593 0.000 0.000
-2.296 3.977 0.000
0.000 0.000 3.691
ATOMIC_POSITIONS crystal
Be 0.166 0.332 0.250
Be 0.166 0.834 0.250
Be 0.332 0.166 0.750
Be 0.668 0.834 0.250
Be 0.834 0.166 0.750
Be 0.834 0.668 0.750
Ni 0.333 0.667 0.750
Ni 0.667 0.333 0.250

---

(6)
! Be3Ni5, relaxed, DFT GGA-PBE; values from VASP
! Energy: -5.242 eV/atom
! Space group: P4/mmm (123)
&SYSTEM
  ibrav = 0, nat = 8, ntyp = 2
/
ATOMIC_SPECIES
Be 9.01 Be.upf
Ni 58.69 Ni.upf
CELL_PARAMETERS angstrom
2.540 0.000 0.000
0.000 2.540 0.000
0.000 0.000 11.502
ATOMIC_POSITIONS crystal
Be 0.000 0.000 0.000
Be 0.500 0.500 0.382
Be 0.500 0.500 0.618
Ni 0.000 0.000 0.268
Ni 0.000 0.000 0.500
Ni 0.000 0.000 0.732
Ni 0.500 0.500 0.116
Ni 0.500 0.500 0.884

---

Repeat the fourth record exactly.
! Be3Ni, relaxed, DFT GGA-PBE; values from VASP
! Energy: -4.472 eV/atom
! Space group: Pm-3m (221)
&SYSTEM
  ibrav = 0, nat = 4, ntyp = 2
/
ATOMIC_SPECIES
Be 9.01 Be.upf
Ni 58.69 Ni.upf
CELL_PARAMETERS angstrom
3.254 0.000 0.000
0.000 3.254 0.000
0.000 0.000 3.254
ATOMIC_POSITIONS crystal
Be 0.000 0.000 0.500
Be 0.000 0.500 0.000
Be 0.500 0.000 0.000
Ni 0.500 0.500 0.500

---

Q: Which formula does entry 4 have?
A: Be3Ni

---

What did the second record say?
! BeNi3, relaxed, DFT GGA-PBE; values from VASP
! Energy: -5.272 eV/atom
! Space group: Pmmn (59)
&SYSTEM
  ibrav = 0, nat = 8, ntyp = 2
/
ATOMIC_SPECIES
Be 9.01 Be.upf
Ni 58.69 Ni.upf
CELL_PARAMETERS angstrom
3.940 0.000 0.000
0.000 4.875 0.000
0.000 0.000 4.160
ATOMIC_POSITIONS crystal
Be 0.250 0.250 0.170
Be 0.750 0.750 0.830
Ni 0.250 0.002 0.671
Ni 0.250 0.498 0.671
Ni 0.250 0.750 0.161
Ni 0.750 0.250 0.839
Ni 0.750 0.502 0.329
Ni 0.750 0.998 0.329